# PBE-GGA In2BRhF, optimized geometry
# - VASP energy: -4.399 eV per atom
data_In2BRhF
_chemical_formula_sum 'In2 B1 Rh1 F1'
_symmetry_space_group_name_H-M 'P 4/m m m'
_symmetry_Int_Tables_number 123
_symmetry_space_group_name_Hall '-P 4 2'
_cell_length_a 4.833
_cell_length_b 4.833
_cell_length_c 3.914
_cell_angle_alpha 90.00
_cell_angle_beta 90.00
_cell_angle_gamma 90.00
loop_
_atom_site_label
_atom_site_type_symbol
_atom_site_fract_x
_atom_site_fract_y
_atom_site_fract_z
In1 In 0.000 0.500 0.000
B1 B 0.000 0.000 0.000
Rh1 Rh 0.000 0.000 0.500
F1 F 0.500 0.500 0.500

# PBE-GGA YZn2Si, optimized geometry
# - VASP energy: -3.962 eV per atom
data_YZn2Si
_chemical_formula_sum 'Y1 Zn2 Si1'
_symmetry_space_group_name_H-M 'P 4/m m m'
_symmetry_Int_Tables_number 123
_symmetry_space_group_name_Hall '-P 4 2'
_cell_length_a 4.092
_cell_length_b 4.092
_cell_length_c 4.389
_cell_angle_alpha 90.00
_cell_angle_beta 90.00
_cell_angle_gamma 90.00
loop_
_atom_site_label
_atom_site_type_symbol
_atom_site_fract_x
_atom_site_fract_y
_atom_site_fract_z
Y1 Y 0.000 0.000 0.000
Zn1 Zn 0.000 0.500 0.500
Si1 Si 0.500 0.500 0.000

# PBE-GGA In2PSe, optimized geometry
# - VASP energy: -3.290 eV per atom
# - Distance to the lowest polymorph of the same formula: 570 meV/atom
data_In2PSe
_chemical_formula_sum 'In2 P1 Se1'
_symmetry_space_group_name_H-M 'P m m m'
_symmetry_Int_Tables_number 47
_cell_length_a 3.593
_cell_length_b 4.793
_cell_length_c 5.280
_cell_angle_alpha 90.00
_cell_angle_beta 90.00
_cell_angle_gamma 90.00
loop_
_symmetry_equiv_pos_as_xyz
'x,y,z'
'-x,-y,-z'
'-x,-y,z'
'x,y,-z'
'x,-y,-z'
'-x,y,z'
'-x,y,-z'
'x,-y,z'
loop_
_atom_site_label
_atom_site_type_symbol
_atom_site_fract_x
_atom_site_fract_y
_atom_site_fract_z
In1 In 0.000 0.000 0.000
In2 In 0.500 0.500 0.000
P1 P 0.000 0.500 0.500
Se1 Se 0.500 0.000 0.500